A geometry-optimized As4PtW structure. Source: Alexandria via LeMat-Bulk, functional PBE-GGA.

Results
- Electronic total energy: -5.34 eV per atom
- Space group: F-43m (216)
- Formation energy from the elements: 5.6 eV per formula unit

Cell lengths 5.317, 5.317, 5.317 Å; angles 60.00, 60.00, 60.00 degrees
Atoms (fractional coordinates):
As  0.125  0.125  0.125
As  0.125  0.125  0.624
As  0.125  0.624  0.125
As  0.624  0.125  0.125
Pt  0.750  0.750  0.750
W  0.500  0.500  0.500